Compound: Li2FeF6
Source: Alexandria via LeMat-Bulk
Functional: PBE with a Hubbard U
Structure: relaxed

```
Li2FeF6
1.0
4.3440 2.4827 -0.0019
-4.3440 2.4827 -0.0019
0.0000 0.2404 4.4831
Li F Fe
2 6 1
Cartesian
1.5797 2.6029 2.2396
-1.5797 2.6029 2.2396
0.0000 3.6957 3.4885
0.0000 1.5102 0.9908
-1.3513 0.9972 3.3520
1.3513 4.2087 1.1273
1.3513 0.9972 3.3520
-1.3513 4.2087 1.1273
0.0000 0.0000 0.0000
```

Output
Total moment   3.977 μB per formula unit
Density   3.15 g cm⁻³
Calculated total energy   -0.344 Ry per atom